Below is a geometry-optimized ReIrSeN2 structure, with properties calculated at the PBE level.

Energy relative to the elements, uncorrected   0.987 eV/atom
Magnetization   0.98 μB per formula unit
E above lowest polymorph   0.0 meV per atom
Uncorrected energy   -7.3018 eV/atom

Geometry as CIF:
```
data_ReIrSeN2
_space_group_name_H-M_alt 'P 4/m m m'
_space_group_IT_number 123
_space_group_name_Hall '-P 4 2'
_cell_length_a 3.777
_cell_length_b 3.777
_cell_length_c 5.567
_cell_angle_alpha 90.00
_cell_angle_beta 90.00
_cell_angle_gamma 90.00
loop_
_atom_site_label
_atom_site_fract_x
_atom_site_fract_y
_atom_site_fract_z
Re1 0.000 0.000 0.000
Ir1 0.500 0.500 0.500
Se1 0.000 0.000 0.500
N1 0.000 0.500 0.000
```

=====

Below is a geometry-optimized K3GeO4 structure, with properties calculated at the PBE level.

Energy relative to the elements, uncorrected   -1.460 eV/atom
Magnetization   1.02 μB per formula unit
E above lowest polymorph   58.5 meV per atom
Uncorrected energy   -4.9278 eV/atom

Geometry as CIF:
```
data_K3GeO4
_space_group_name_H-M_alt 'I m m 2'
_space_group_IT_number 44
_space_group_name_Hall 'I 2 -2'
_cell_length_a 6.312
_cell_length_b 8.337
_cell_length_c 6.439
_cell_angle_alpha 90.00
_cell_angle_beta 90.00
_cell_angle_gamma 90.00
loop_
_atom_site_label
_atom_site_fract_x
_atom_site_fract_y
_atom_site_fract_z
K1 0.000 0.000 0.000
K2 0.000 0.235 0.525
Ge1 0.000 0.500 0.058
O1 0.000 0.320 0.911
O2 0.232 0.500 0.214
```

=====

Below is a geometry-optimized LiInC3 structure, with properties calculated at the PBE level.

Magnetization   0.00 μB per formula unit
Energy of formation from the pure elements   2.6589 eV per atom
E above lowest polymorph   0.0 meV per atom
Uncorrected energy   -3.8058 eV/atom

Geometry as CIF:
```
data_LiInC3
_space_group_name_H-M_alt 'P m -3 m'
_space_group_IT_number 221
_space_group_name_Hall '-P 4 2 3'
_cell_length_a 3.832
_cell_length_b 3.832
_cell_length_c 3.832
_cell_angle_alpha 90.00
_cell_angle_beta 90.00
_cell_angle_gamma 90.00
loop_
_atom_site_label
_atom_site_fract_x
_atom_site_fract_y
_atom_site_fract_z
Li1 0.000 0.000 0.000
In1 0.500 0.500 0.500
C1 0.000 0.000 0.500
```